#A
First-principles (GGA-PBE) data for a relaxed structure of AcDyAg, as listed in the Open Quantum Materials Database.

Calculated values
theoretical density	8.239	g cm⁻³
total moment	0.00	μB/cell

Lattice parameters (Å, degrees): 5.2143 5.2143 5.2143 60.00 60.00 60.00
Element x y z (fractional)
Ag (0.2500, 0.2500, 0.2500)
Ac (0.0000, 0.0000, 0.0000)
Dy (0.7500, 0.7500, 0.7500)



#B
First-principles (GGA-PBE) data for a relaxed structure of AcDyAg, as listed in the Open Quantum Materials Database.

Calculated values
theoretical density	8.573	g cm⁻³
total moment	0.01	μB/cell

Lattice parameters (Å, degrees): 5.1457 5.1457 5.1457 60.00 60.00 60.00
Element x y z (fractional)
Dy (0.0000, 0.0000, 0.0000)
Ag (0.7500, 0.7500, 0.7500)
Ac (0.2500, 0.2500, 0.2500)



List of relative energies, unit meV/atom: #A 167; #B 0



#A
First-principles (GGA-PBE) data for a relaxed structure of AcErAg, as listed in the Open Quantum Materials Database.

Calculated values
theoretical density	8.194	g cm⁻³
total moment	0.02	μB/cell

Lattice parameters (Å, degrees): 5.2403 5.2403 5.2403 60.00 60.00 60.00
Element x y z (fractional)
Ag (0.2500, 0.2500, 0.2500)
Er (0.0000, 0.0000, 0.0000)
Ac (0.5000, 0.5000, 0.5000)



#B
First-principles (GGA-PBE) data for a relaxed structure of AcErAg, as listed in the Open Quantum Materials Database.

Calculated values
theoretical density	8.281	g cm⁻³
total moment	0.00	μB/cell

Lattice parameters (Å, degrees): 5.2219 5.2219 5.2219 60.00 60.00 60.00
Element x y z (fractional)
Ac (0.0000, 0.0000, 0.0000)
Ag (0.2500, 0.2500, 0.2500)
Er (0.7500, 0.7500, 0.7500)



List of relative energies, unit meV/atom: #A 0; #B 597



#A
First-principles (GGA-PBE) data for a relaxed structure of AcAgGe, as listed in the Open Quantum Materials Database.

Calculated values
theoretical density	7.857	g cm⁻³
total moment	0.00	μB/cell

Lattice parameters (Å, degrees): 4.9569 4.9569 4.9569 60.00 60.00 60.00
Element x y z (fractional)
Ac (0.2500, 0.2500, 0.2500)
Ag (0.0000, 0.0000, 0.0000)
Ge (0.7500, 0.7500, 0.7500)



#B
First-principles (GGA-PBE) data for a relaxed structure of AcAgGe, as listed in the Open Quantum Materials Database.

Calculated values
theoretical density	8.406	g cm⁻³
total moment	0.01	μB/cell

Lattice parameters (Å, degrees): 4.5900 4.5900 4.4120 90.00 90.00 120.00
Element x y z (fractional)
Ac (0.0000, 0.0000, 0.3326)
Ge (0.6667, 0.3333, 0.8358)
Ag (0.3333, 0.6667, 0.8316)



List of relative energies, unit meV/atom: #A 186; #B 0



#A
First-principles (GGA-PBE) data for a relaxed structure of AcHfAg, as listed in the Open Quantum Materials Database.

Calculated values
theoretical density	9.209	g cm⁻³
total moment	1.12	μB/cell

Lattice parameters (Å, degrees): 5.0775 5.0775 5.0775 60.00 60.00 60.00
Each line ends with the local moment (μB).
Element x y z (fractional)
Ag (0.2500, 0.2500, 0.2500)  0.04
Hf (0.0000, 0.0000, 0.0000)  0.51
Ac (0.5000, 0.5000, 0.5000)  0.12



#B
First-principles (GGA-PBE) data for a relaxed structure of AcHfAg, as listed in the Open Quantum Materials Database.

Calculated values
theoretical density	9.146	g cm⁻³
total moment	0.00	μB/cell

Lattice parameters (Å, degrees): 5.0893 5.0893 5.0893 60.00 60.00 60.00
Element x y z (fractional)
Ag (0.2500, 0.2500, 0.2500)
Hf (0.7500, 0.7500, 0.7500)
Ac (0.0000, 0.0000, 0.0000)



List of relative energies, unit meV/atom: #A 0; #B 584



#A
First-principles (GGA-PBE) data for a relaxed structure of AcAgHg, as listed in the Open Quantum Materials Database.

Calculated values
theoretical density	10.560	g cm⁻³
total moment	0.01	μB/cell

Lattice parameters (Å, degrees): 5.0133 5.0133 3.8683 90.00 90.00 120.00
Element x y z (fractional)
Ag (0.6667, 0.3333, 0.1668)
Hg (0.0000, 0.0000, 0.1666)
Ac (0.3333, 0.6667, 0.6666)



#B
First-principles (GGA-PBE) data for a relaxed structure of AcAgHg, as listed in the Open Quantum Materials Database.

Calculated values
theoretical density	8.538	g cm⁻³
total moment	0.01	μB/cell

Lattice parameters (Å, degrees): 5.2809 5.2809 5.2809 60.00 60.00 60.00
Element x y z (fractional)
Hg (0.7500, 0.7500, 0.7500)
Ag (0.2500, 0.2500, 0.2500)
Ac (0.0000, 0.0000, 0.0000)



#C
First-principles (GGA-PBE) data for a relaxed structure of AcAgHg, as listed in the Open Quantum Materials Database.

Calculated values
theoretical density	9.473	g cm⁻³
total moment	0.00	μB/cell

Lattice parameters (Å, degrees): 5.1011 5.1011 5.1011 60.00 60.00 60.00
Element x y z (fractional)
Ac (0.2500, 0.2500, 0.2500)
Hg (0.7500, 0.7500, 0.7500)
Ag (0.0000, 0.0000, 0.0000)



List of relative energies, unit meV/atom: #A 0; #B 413; #C 168